(1)
The following is a PBE-GGA calculation of a relaxed structure of SrMgNi2, from Alexandria via LeMat-Bulk.

a b c (Å): 6.7148 6.7148 6.7148
angles (deg): 90.00 90.00 90.00
Space group F-43m (No. 216)
Unique sites:
Sr 0.0000 0.0000 0.0000
Mg 0.2500 0.2500 0.7500
Ni 0.0000 0.0000 0.5000
Ni 0.2500 0.2500 0.2500

Formation enthalpy at 0 K in eV/f.u.: 1.49
Raw total energy in eV per atom: -3.337

(2)
The following is a PBE-GGA calculation of a relaxed structure of AcDy2Ag, from Alexandria via LeMat-Bulk.

a b c (Å): 3.7217 3.7217 8.8575
angles (deg): 90.00 90.00 90.00
Space group P4/mmm (No. 123)
Unique sites:
Ac 0.0000 0.0000 0.0000
Dy 0.5000 0.5000 0.3029
Ag 0.0000 0.0000 0.5000

Formation enthalpy at 0 K in eV/f.u.: -0.41
Raw total energy in eV per atom: -4.144

(3)
The following is a PBE-GGA calculation of a relaxed structure of Er2PtAu, from Alexandria via LeMat-Bulk.

a b c (Å): 4.0447 4.0447 20.8483
angles (deg): 90.00 90.00 120.00
Space group R3m (No. 160, hexagonal axes)
Unique sites:
Er 0.0000 0.0000 0.0000
Er 0.0000 0.0000 0.1823
Pt 0.0000 0.0000 0.5919
Au 0.0000 0.0000 0.7569

Formation enthalpy at 0 K in eV/f.u.: -3.96
Raw total energy in eV per atom: -5.602

(4)
The following is a PBE-GGA calculation of a relaxed structure of La6NdSmTh2, from Alexandria via LeMat-Bulk.

a b c (Å): 9.1149 15.0670 10.7727
angles (deg): 90.00 104.80 90.00
Space group C2/c (No. 15)
Unique sites:
La 0.0767 0.1818 0.4566
La 0.0894 0.4022 0.6169
La 0.2125 0.2242 0.8319
Nd 0.0000 0.0088 0.7500
Sm 0.0000 0.4014 0.2500
Th 0.2207 0.0404 0.0440

Formation enthalpy at 0 K in eV/f.u.: 1.30
Raw total energy in eV per atom: -5.259

(5)
The following is a PBE-GGA calculation of a relaxed structure of Te2POs12, from Alexandria via LeMat-Bulk.

a b c (Å): 4.7160 5.5841 10.1825
angles (deg): 82.46 76.89 72.36
Space group P-1 (No. 2)
Unique sites:
Te 0.1885 0.2840 0.3232
P 0.5000 0.5000 0.5000
Os 0.2136 0.7990 0.3003
Os 0.2420 0.1612 0.0497
Os 0.2494 0.4708 0.8313
Os 0.2563 0.6756 0.0522
Os 0.2558 0.9691 0.8264
Os 0.3448 0.1664 0.5764

Raw total energy in eV per atom: -9.233
Formation energy (no corrections) in eV/atom: 0.5302

(6)
The following is a PBE-GGA calculation of a relaxed structure of NaZrAl2, from Alexandria via LeMat-Bulk.

a b c (Å): 6.8162 2.9568 8.5442
angles (deg): 90.00 90.00 90.00
Space group Pmma (No. 51)
Unique sites:
Na 0.2500 0.0000 0.0355
Zr 0.2500 0.0000 0.4486
Al 0.0573 0.5000 0.7192

Formation enthalpy at 0 K in eV/f.u.: -0.46
Raw total energy in eV per atom: -4.454

(7)
The following is a PBE-GGA calculation of a relaxed structure of ScAlCo2Ag, from Alexandria via LeMat-Bulk.

a b c (Å): 4.2912 4.2912 4.9922
angles (deg): 90.00 90.00 90.00
Space group P4/mmm (No. 123)
Unique sites:
Sc 0.0000 0.0000 0.0000
Al 0.0000 0.0000 0.5000
Co 0.0000 0.5000 0.5000
Ag 0.5000 0.5000 0.0000

Formation enthalpy at 0 K in eV/f.u.: 3.77
Raw total energy in eV per atom: -4.674

(8)
The following is a PBE-GGA calculation of a relaxed structure of ErZrCdRh, from Alexandria via LeMat-Bulk.

a b c (Å): 6.9500 6.9500 6.9500
angles (deg): 90.00 90.00 90.00
Space group F-43m (No. 216)
Unique sites:
Er 0.0000 0.0000 0.0000
Zr 0.0000 0.0000 0.5000
Cd 0.2500 0.2500 0.2500
Rh 0.2500 0.2500 0.7500

Formation enthalpy at 0 K in eV/f.u.: -1.54
Raw total energy in eV per atom: -5.729

(9)
The following is a PBE-GGA calculation of a relaxed structure of LaZnSn, from Alexandria via LeMat-Bulk.

a b c (Å): 4.5502 4.5502 8.8623
angles (deg): 90.00 90.00 120.00
Space group P6_3/mmc (No. 194)
Unique sites:
La 0.0000 0.0000 0.0000
Zn 0.3333 0.6667 0.2500
Sn 0.3333 0.6667 0.7500

Formation enthalpy at 0 K in eV/f.u.: -1.88
Raw total energy in eV per atom: -4.029

(10)
The following is a PBE-GGA calculation of a relaxed structure of Tl2AgSb, from Alexandria via LeMat-Bulk.

a b c (Å): 4.4580 4.4980 5.3930
angles (deg): 90.00 90.00 90.00
Space group Pmmm (No. 47)
Unique sites:
Tl 0.0000 0.0000 0.0000
Tl 0.5000 0.5000 0.0000
Ag 0.0000 0.5000 0.5000
Sb 0.5000 0.0000 0.5000

Raw total energy in eV per atom: -2.801
Formation energy (no corrections) in eV/atom: 0.1252

(11)
The following is a PBE-GGA calculation of a relaxed structure of ThPaPC, from Alexandria via LeMat-Bulk.

a b c (Å): 3.7199 3.7199 20.5800
angles (deg): 90.00 90.00 120.00
Space group R3m (No. 160, hexagonal axes)
Unique sites:
Th 0.0000 0.0000 0.0000
Pa 0.0000 0.0000 0.1920
P 0.0000 0.0000 0.4333
C 0.0000 0.0000 0.5910

Formation enthalpy at 0 K in eV/f.u.: -2.98
Raw total energy in eV per atom: -8.633

(12)
The following is a PBE-GGA calculation of a relaxed structure of Ti4Cd, from Alexandria via LeMat-Bulk.

a b c (Å): 4.9356 4.9356 4.9356
angles (deg): 90.00 90.00 90.00
Space group Pm-3m (No. 221)
Unique sites:
Ti 0.0000 0.0000 0.0000
Ti 0.0000 0.5000 0.5000
Cd 0.5000 0.5000 0.5000

Formation enthalpy at 0 K in eV/f.u.: 6.73
Raw total energy in eV per atom: -5.153